Entry from Alexandria: crystalline CeTm2Cr2C4 at its relaxed geometry (PBE). Values from VASP.

Summary:
For the total energy, the calculation gives -8.0453 eV per atom. Its crystal system is monoclinic.

```
&SYSTEM
  ibrav = 0, nat = 9, ntyp = 4
/
ATOMIC_SPECIES
Ce 140.12 Ce.upf
Tm 168.93 Tm.upf
Cr 52.00 Cr.upf
C 12.01 C.upf
CELL_PARAMETERS angstrom
6.601 -1.633 0.000
6.601 1.633 0.000
-2.216 0.000 5.401
ATOMIC_POSITIONS angstrom
Ce 0.000 0.000 0.000
Tm 0.721 0.000 2.905
Tm 10.264 0.000 2.496
Cr 4.245 0.000 0.128
Cr 6.740 0.000 5.273
C 2.481 0.000 1.103
C 5.550 0.000 1.974
C 5.435 0.000 3.427
C 8.505 0.000 4.298
```

***

Entry from Alexandria: crystalline CePd3 at its relaxed geometry (PBE). Values from VASP.

Summary:
For the total energy, the calculation gives -5.9761 eV per atom. Its crystal system is cubic.

```
&SYSTEM
  ibrav = 0, nat = 16, ntyp = 2
/
ATOMIC_SPECIES
Ce 140.12 Ce.upf
Pd 106.42 Pd.upf
CELL_PARAMETERS angstrom
6.686 0.000 0.000
0.000 6.686 0.000
0.000 0.000 6.686
ATOMIC_POSITIONS angstrom
Ce 0.000 0.000 0.000
Ce 0.000 3.343 3.343
Ce 3.343 0.000 3.343
Ce 3.343 3.343 0.000
Pd 0.000 0.000 3.343
Pd 0.000 3.343 0.000
Pd 1.672 1.672 1.672
Pd 1.672 1.672 5.015
Pd 1.672 5.015 1.672
Pd 1.672 5.015 5.015
Pd 3.343 0.000 0.000
Pd 3.343 3.343 3.343
Pd 5.015 1.672 1.672
Pd 5.015 1.672 5.015
Pd 5.015 5.015 1.672
Pd 5.015 5.015 5.015
```

***

Entry from Alexandria: crystalline Sm3DyAl at its relaxed geometry (PBE). Values from VASP.

Summary:
For the total energy, the calculation gives -4.4058 eV per atom. Its crystal system is orthorhombic.

```
&SYSTEM
  ibrav = 0, nat = 10, ntyp = 3
/
ATOMIC_SPECIES
Sm 150.36 Sm.upf
Dy 162.50 Dy.upf
Al 26.98 Al.upf
CELL_PARAMETERS angstrom
5.234 0.000 0.000
0.000 9.411 0.000
0.000 0.000 6.521
ATOMIC_POSITIONS angstrom
Sm 0.000 0.000 0.000
Sm 0.000 4.706 3.260
Sm 2.617 1.727 4.742
Sm 2.617 2.978 1.481
Sm 2.617 6.433 1.481
Sm 2.617 7.684 4.742
Dy 0.000 0.000 3.088
Dy 0.000 4.706 6.348
Al 2.617 0.000 1.603
Al 2.617 4.706 4.863
```

***

Entry from Alexandria: crystalline SrFeHg2 at its relaxed geometry (PBE). Values from VASP.

Summary:
For the total energy, the calculation gives -2.3988 eV per atom. Its crystal system is cubic.

```
&SYSTEM
  ibrav = 0, nat = 16, ntyp = 3
/
ATOMIC_SPECIES
Sr 87.62 Sr.upf
Fe 55.84 Fe.upf
Hg 200.59 Hg.upf
CELL_PARAMETERS angstrom
7.299 0.000 0.000
0.000 7.299 0.000
0.000 0.000 7.299
ATOMIC_POSITIONS angstrom
Sr 0.000 0.000 0.000
Sr 0.000 3.649 3.649
Sr 3.649 0.000 3.649
Sr 3.649 3.649 0.000
Fe 1.825 1.825 5.474
Fe 1.825 5.474 1.825
Fe 5.474 1.825 1.825
Fe 5.474 5.474 5.474
Hg 0.000 0.000 3.649
Hg 0.000 3.649 0.000
Hg 1.825 1.825 1.825
Hg 1.825 5.474 5.474
Hg 3.649 0.000 0.000
Hg 3.649 3.649 3.649
Hg 5.474 1.825 5.474
Hg 5.474 5.474 1.825
```

***

Entry from Alexandria: crystalline Ca2AgW at its relaxed geometry (PBE). Values from VASP.

Summary:
For the total energy, the calculation gives -4.3618 eV per atom. Its crystal system is monoclinic.

```
&SYSTEM
  ibrav = 0, nat = 8, ntyp = 3
/
ATOMIC_SPECIES
Ca 40.08 Ca.upf
Ag 107.87 Ag.upf
W 183.84 W.upf
CELL_PARAMETERS angstrom
11.747 0.000 0.000
0.000 2.976 0.000
-1.810 0.000 5.317
ATOMIC_POSITIONS angstrom
Ca 0.000 0.000 0.000
Ca 1.273 0.000 3.229
Ca 5.873 1.488 0.000
Ca 7.147 1.488 3.229
Ag 2.744 1.488 0.702
Ag 8.618 0.000 0.702
W 4.379 0.000 2.485
W 10.252 1.488 2.485
```

***

Entry from Alexandria: crystalline ErPaCdO6 at its relaxed geometry (PBE). Values from VASP.

Summary:
The uncorrected formation energy is -2.375 eV per atom. Its crystal system is trigonal.

```
&SYSTEM
  ibrav = 0, nat = 9, ntyp = 4
/
ATOMIC_SPECIES
Er 167.26 Er.upf
Pa 231.04 Pa.upf
Cd 112.41 Cd.upf
O 16.00 O.upf
CELL_PARAMETERS angstrom
5.655 0.000 0.000
-2.828 4.898 0.000
0.000 0.000 4.843
ATOMIC_POSITIONS angstrom
Er 0.000 0.000 0.000
Pa 0.000 3.265 2.421
Cd 2.828 1.633 0.000
O -0.872 1.697 1.196
O -1.794 3.294 3.647
O 0.872 1.697 3.647
O -0.922 4.804 1.196
O 1.794 3.294 1.196
O 0.922 4.804 3.647
```

***

Entry from Alexandria: crystalline CaMg2Si at its relaxed geometry (PBE). Values from VASP.

Summary:
The uncorrected formation energy is -0.088 eV per atom. Its crystal system is orthorhombic.

```
&SYSTEM
  ibrav = 0, nat = 4, ntyp = 3
/
ATOMIC_SPECIES
Ca 40.08 Ca.upf
Mg 24.30 Mg.upf
Si 28.09 Si.upf
CELL_PARAMETERS angstrom
3.377 0.000 0.000
0.000 3.716 0.000
0.000 0.000 7.382
ATOMIC_POSITIONS angstrom
Ca 0.000 0.000 0.000
Mg 0.000 0.000 4.120
Mg 1.689 1.858 2.361
Si 1.689 1.858 5.437
```

***

Entry from Alexandria: crystalline Ti2PbS at its relaxed geometry (PBE). Values from VASP.

Summary:
The uncorrected formation energy is -0.702 eV per atom. Its crystal system is trigonal.

```
&SYSTEM
  ibrav = 0, nat = 12, ntyp = 3
/
ATOMIC_SPECIES
Ti 47.87 Ti.upf
Pb 207.20 Pb.upf
S 32.06 S.upf
CELL_PARAMETERS angstrom
3.494 0.000 0.000
-1.747 3.026 0.000
0.000 0.000 21.070
ATOMIC_POSITIONS angstrom
Ti 0.000 0.000 0.000
Ti 0.000 0.000 4.498
Ti 0.000 2.017 14.047
Ti 0.000 2.017 18.545
Ti 1.747 1.009 7.023
Ti 1.747 1.009 11.522
Pb 0.000 0.000 9.247
Pb 0.000 2.017 2.223
Pb 1.747 1.009 16.270
S 0.000 0.000 12.795
S 0.000 2.017 5.771
S 1.747 1.009 19.818
```

***

Entry from Alexandria: crystalline Ho2MnWN5 at its relaxed geometry (PBE). Values from VASP.

Summary:
The uncorrected formation energy is -0.901 eV per atom. Its crystal system is orthorhombic.

```
&SYSTEM
  ibrav = 0, nat = 18, ntyp = 4
/
ATOMIC_SPECIES
Ho 164.93 Ho.upf
Mn 54.94 Mn.upf
W 183.84 W.upf
N 14.01 N.upf
CELL_PARAMETERS angstrom
1.586 -6.813 0.000
1.586 6.813 0.000
0.000 0.000 9.719
ATOMIC_POSITIONS angstrom
Ho 1.586 5.188 4.860
Ho 1.586 5.061 1.277
Ho 1.586 -5.061 6.137
Ho 1.586 -5.188 0.000
Mn 1.586 0.704 2.543
Mn 1.586 -0.704 7.402
W 1.586 4.066 8.052
W 1.586 -4.066 3.192
N 1.586 6.369 8.217
N 1.586 2.730 4.580
N 1.586 2.498 1.753
N 1.586 2.154 7.932
N 1.586 0.021 0.928
N 1.586 -0.021 5.787
N 1.586 -2.154 3.072
N 1.586 -2.498 6.613
N 1.586 -2.730 9.440
N 1.586 -6.369 3.357
```

***

Entry from Alexandria: crystalline NdDy5In3 at its relaxed geometry (PBE). Values from VASP.

Summary:
For the total energy, the calculation gives -4.3490 eV per atom. Its crystal system is hexagonal.

```
&SYSTEM
  ibrav = 0, nat = 18, ntyp = 3
/
ATOMIC_SPECIES
Nd 144.24 Nd.upf
Dy 162.50 Dy.upf
In 114.82 In.upf
CELL_PARAMETERS angstrom
9.396 0.000 0.000
-4.698 8.137 0.000
0.000 0.000 6.751
ATOMIC_POSITIONS angstrom
Nd 0.000 0.000 0.000
Nd 0.000 0.000 3.376
Dy -1.554 2.691 1.688
Dy -3.144 5.446 5.063
Dy 3.107 0.000 1.688
Dy 1.554 2.691 5.063
Dy 0.000 5.425 0.000
Dy 0.000 5.425 3.376
Dy 4.698 2.712 0.000
Dy 4.698 2.712 3.376
Dy 6.289 0.000 5.063
Dy 3.144 5.446 1.688
In -1.595 2.763 5.063
In -3.103 5.375 1.688
In 3.190 0.000 5.063
In 1.595 2.763 1.688
In 6.206 0.000 1.688
In 3.103 5.375 5.063
```

***

Copy entry 8 word for word.
Entry from Alexandria: crystalline Ti2PbS at its relaxed geometry (PBE). Values from VASP.

Summary:
The uncorrected formation energy is -0.702 eV per atom. Its crystal system is trigonal.

```
&SYSTEM
  ibrav = 0, nat = 12, ntyp = 3
/
ATOMIC_SPECIES
Ti 47.87 Ti.upf
Pb 207.20 Pb.upf
S 32.06 S.upf
CELL_PARAMETERS angstrom
3.494 0.000 0.000
-1.747 3.026 0.000
0.000 0.000 21.070
ATOMIC_POSITIONS angstrom
Ti 0.000 0.000 0.000
Ti 0.000 0.000 4.498
Ti 0.000 2.017 14.047
Ti 0.000 2.017 18.545
Ti 1.747 1.009 7.023
Ti 1.747 1.009 11.522
Pb 0.000 0.000 9.247
Pb 0.000 2.017 2.223
Pb 1.747 1.009 16.270
S 0.000 0.000 12.795
S 0.000 2.017 5.771
S 1.747 1.009 19.818
```